(1)
This record from Alexandria via LeMat-Bulk describes crystalline InGaHg2Br at its relaxed geometry. The functional is GGA-PBE.

Results
- energy (eV per atom) = -1.747
- formation energy from raw total energies (eV per formula unit) = -0.69
- space group = P4/mmm, No. 123
- excess energy over the best structure of this formula in the dataset (eV/atom) = 0.0000
- crystal system = tetragonal

extended XYZ file:
```
5
Lattice="5.285 0.000 0.000 0.000 5.285 0.000 0.000 0.000 5.536" Properties=species:S:1:pos:R:3 pbc="T T T"
Ga 0.000 0.000 0.000
Hg 0.000 2.642 0.000
Hg 2.642 0.000 0.000
Br 2.642 2.642 2.768
In 0.000 0.000 2.768
```


(2)
This record from Alexandria via LeMat-Bulk describes crystalline In2Ga2HgBr6 at its relaxed geometry. The functional is GGA-PBE.

Results
- energy (eV per atom) = -2.648
- formation energy from raw total energies (eV per formula unit) = -7.26
- space group = P-1, No. 2
- crystal system = triclinic

extended XYZ file:
```
11
Lattice="-4.286 4.980 3.309 -5.577 -3.340 5.264 8.580 2.799 2.697" Properties=species:S:1:pos:R:3 pbc="T T T"
In 1.684 4.791 6.270
In -2.967 -0.353 5.000
Ga 2.441 0.287 7.262
Ga -3.724 4.152 4.008
Hg 2.147 3.889 3.003
Br -6.259 -0.348 5.702
Br -5.036 3.494 5.950
Br 0.236 -0.369 6.596
Br 3.753 0.945 5.320
Br -1.519 4.807 4.674
Br 4.976 4.787 5.568
```


(3)
This record from Alexandria via LeMat-Bulk describes crystalline In2GaHgBr at its relaxed geometry. The functional is GGA-PBE.

Results
- energy (eV per atom) = -2.167
- formation energy from raw total energies (eV per formula unit) = -0.36
- space group = P4/mmm, No. 123
- crystal system = tetragonal

extended XYZ file:
```
5
Lattice="-0.714 5.535 -0.045 -1.478 -0.234 -5.377 -4.998 -0.633 1.402" Properties=species:S:1:pos:R:3 pbc="T T T"
Ga 0.000 0.000 0.000
Hg -2.499 -0.316 0.701
Br -3.595 2.334 -2.010
In -0.739 -0.117 -2.688
In -0.357 2.768 -0.022
```


(4)
This record from Alexandria via LeMat-Bulk describes crystalline K2Ga2HgBr6 at its relaxed geometry. The functional is GGA-PBE.

Results
- energy (eV per atom) = -2.772
- formation energy from raw total energies (eV per formula unit) = -11.90
- space group = P-1, No. 2
- crystal system = triclinic

extended XYZ file:
```
11
Lattice="8.882 1.261 0.220 5.421 6.329 -0.183 -0.393 -3.344 8.982" Properties=species:S:1:pos:R:3 pbc="T T T"
K 9.085 -0.036 7.617
K 4.824 4.281 1.402
Ga 4.198 1.112 5.998
Ga 9.712 3.134 3.020
Hg 4.244 -1.042 4.601
Br 6.129 1.637 7.470
Br 2.674 1.611 1.199
Br 12.984 4.486 4.961
Br 11.235 2.634 7.820
Br 0.926 -0.241 4.058
Br 7.781 2.608 1.549
```


(5)
This record from Alexandria via LeMat-Bulk describes crystalline K2GaHgBr6 at its relaxed geometry. The functional is GGA-PBE.

Results
- energy (eV per atom) = -2.566
- formation energy from raw total energies (eV per formula unit) = -10.09
- space group = Fm-3m, No. 225
- crystal system = cubic

extended XYZ file:
```
10
Lattice="0.000 5.511 5.511 5.511 0.000 5.511 5.511 5.511 0.000" Properties=species:S:1:pos:R:3 pbc="T T T"
K 8.267 8.267 8.267
K 2.756 2.756 2.756
Ga 0.000 0.000 0.000
Hg 5.511 5.511 5.511
Br 5.511 2.620 5.511
Br 2.620 5.511 5.511
Br 5.511 8.402 5.511
Br 5.511 5.511 2.620
Br 5.511 5.511 8.402
Br 8.402 5.511 5.511
```


(6)
This record from Alexandria via LeMat-Bulk describes crystalline MgGaHgBr2 at its relaxed geometry. The functional is GGA-PBE.

Results
- energy (eV per atom) = -1.884
- formation energy from raw total energies (eV per formula unit) = -1.15
- space group = P4/mmm, No. 123
- crystal system = tetragonal

extended XYZ file:
```
5
Lattice="-1.998 2.412 -4.497 -0.291 -4.813 -2.452 -5.094 -0.664 1.907" Properties=species:S:1:pos:R:3 pbc="T T T"
Mg -0.145 -2.407 -1.226
Ga 0.000 0.000 0.000
Hg -3.691 -1.533 -2.521
Br -2.547 -0.332 0.954
Br -0.999 1.206 -2.248
```


(7)
This record from Alexandria via LeMat-Bulk describes crystalline MnGa2HgBr8 at its relaxed geometry. The functional is GGA-PBE.

Results
- energy (eV per atom) = -3.110
- formation energy from raw total energies (eV per formula unit) = -8.41
- space group = C2/m, No. 12
- crystal system = monoclinic

extended XYZ file:
```
12
Lattice="-5.896 -4.183 2.004 -0.082 -6.732 -0.252 2.214 -4.871 10.391" Properties=species:S:1:pos:R:3 pbc="T T T"
Mn 0.000 0.000 0.000
Ga -1.445 -3.479 2.529
Ga -2.319 -12.307 9.614
Hg -1.882 -7.893 6.071
Br -3.614 -11.230 8.053
Br -4.501 -6.438 1.401
Br -0.151 -4.556 4.090
Br 0.737 -9.347 10.741
Br -3.797 -10.030 3.098
Br 0.033 -5.755 9.044
Br -0.806 -7.908 2.082
Br -2.959 -7.877 10.061
```


(8)
This record from Alexandria via LeMat-Bulk describes crystalline NaGa2Hg2Br6 at its relaxed geometry. The functional is GGA-PBE.

Results
- energy (eV per atom) = -2.270
- formation energy from raw total energies (eV per formula unit) = -6.96
- space group = R-3m, No. 166
- crystal system = trigonal

extended XYZ file:
```
11
Lattice="7.777 0.000 0.000 3.889 6.735 0.000 3.889 2.245 8.163" Properties=species:S:1:pos:R:3 pbc="T T T"
Na 0.000 0.000 0.000
Ga 7.777 4.490 5.315
Ga 7.777 4.490 2.848
Hg 11.666 6.735 4.960
Hg 3.889 2.245 3.203
Br 9.733 5.620 2.036
Br 5.822 5.620 2.036
Br 7.777 2.232 2.036
Br 7.777 6.749 6.127
Br 9.733 3.361 6.127
Br 5.822 3.361 6.127
```


(9)
This record from Alexandria via LeMat-Bulk describes crystalline Na2GaHgBr6 at its relaxed geometry. The functional is GGA-PBE.

Results
- energy (eV per atom) = -2.413
- formation energy from raw total energies (eV per formula unit) = -8.13
- space group = Fm-3m, No. 225
- crystal system = cubic

extended XYZ file:
```
10
Lattice="5.564 -0.753 5.323 -0.859 3.230 6.978 -1.167 -4.463 6.212" Properties=species:S:1:pos:R:3 pbc="T T T"
Na 2.653 -1.489 13.885
Na 0.884 -0.496 4.628
Ga 0.000 0.000 0.000
Hg 1.769 -0.993 9.256
Br 0.393 1.218 8.064
Br 3.756 -0.867 7.197
Br 3.145 -3.204 10.449
Br 0.232 -2.809 7.662
Br 3.306 0.824 10.850
Br -0.218 -1.118 11.316
```


(10)
This record from Alexandria via LeMat-Bulk describes crystalline GaHgBrO2 at its relaxed geometry. The functional is GGA-PBE.

Results
- energy (eV per atom) = -3.944
- formation energy from raw total energies (eV per formula unit) = -4.80
- space group = P2_1/m, No. 11
- crystal system = monoclinic

extended XYZ file:
```
10
Lattice="-1.683 2.355 -2.092 -0.221 -4.759 -5.178 -6.904 -0.908 4.531" Properties=species:S:1:pos:R:3 pbc="T T T"
Ga -3.109 -2.252 -1.558
Ga -5.698 -1.060 -1.182
Hg -0.616 -2.901 -4.294
Hg -8.192 -0.411 1.554
Br -5.799 -0.180 2.938
Br -3.008 -3.132 -5.677
O -4.557 -1.567 -2.670
O -4.250 -1.745 -0.070
O -7.294 -1.617 -0.526
O -1.514 -1.695 -2.213
```


(11)
This record from Alexandria via LeMat-Bulk describes crystalline Pr4GaHgBr2 at its relaxed geometry. The functional is GGA-PBE.

Results
- energy (eV per atom) = -4.066
- formation energy from raw total energies (eV per formula unit) = -6.74
- space group = P2/m, No. 10
- crystal system = monoclinic

extended XYZ file:
```
8
Lattice="4.425 0.000 0.000 0.000 7.480 0.096 0.000 -2.648 7.248" Properties=species:S:1:pos:R:3 pbc="T T T"
Pr 2.213 1.263 1.796
Pr 2.213 3.569 5.548
Pr 0.000 -0.038 5.571
Pr 0.000 4.869 1.773
Ga 2.213 3.740 0.048
Hg 0.000 0.000 0.000
Br 2.213 -1.324 3.624
Br 0.000 2.416 3.672
```


(12)
This record from Alexandria via LeMat-Bulk describes crystalline RbGaHgBr2 at its relaxed geometry. The functional is GGA-PBE.

Results
- energy (eV per atom) = -2.376
- formation energy from raw total energies (eV per formula unit) = -4.24
- space group = P4/mmm, No. 123
- excess energy over the best structure of this formula in the dataset (eV/atom) = 0.0000
- crystal system = tetragonal

extended XYZ file:
```
5
Lattice="-5.189 1.235 2.405 1.305 -3.414 4.569 2.136 4.139 2.483" Properties=species:S:1:pos:R:3 pbc="T T T"
Ga 0.000 0.000 0.000
Br 0.653 -1.707 2.284
Br -2.594 0.617 1.203
Hg 1.068 2.069 1.241
Rb -0.874 0.980 4.728
```